1.
Density functional theory data (GGA-PBE) for a relaxed structure of HoSiPd2. Values from VASP.

Summary:
M_tot	0.0	μB per cell
VASP energy	-24.32	eV/f.u.

Cell and atoms, written as Quantum ESPRESSO input:
```
&SYSTEM
  ibrav = 0, nat = 16, ntyp = 3
/
ATOMIC_SPECIES
Pd 106.42 Pd.upf
Si 28.09 Si.upf
Ho 164.93 Ho.upf
ATOMIC_POSITIONS crystal
Pd 0.178 0.948 0.906
Pd 0.822 0.052 0.094
Pd 0.322 0.052 0.406
Pd 0.322 0.448 0.406
Pd 0.678 0.948 0.594
Pd 0.178 0.552 0.906
Pd 0.822 0.448 0.094
Pd 0.678 0.552 0.594
Si 0.121 0.250 0.141
Si 0.621 0.250 0.359
Si 0.879 0.750 0.859
Si 0.379 0.750 0.641
Ho 0.528 0.750 0.140
Ho 0.472 0.250 0.860
Ho 0.972 0.250 0.640
Ho 0.028 0.750 0.360
CELL_PARAMETERS angstrom
7.287 0.000 0.000
0.000 6.978 0.000
0.000 0.000 5.491
```


2.
Density functional theory data (GGA-PBE) for a relaxed structure of HoSiPd2. Values from VASP.

Summary:
M_tot	0.0	μB per cell
VASP energy	-23.46	eV/f.u.

Cell and atoms, written as Quantum ESPRESSO input:
```
&SYSTEM
  ibrav = 0, nat = 8, ntyp = 3
/
ATOMIC_SPECIES
Pd 106.42 Pd.upf
Ho 164.93 Ho.upf
Si 28.09 Si.upf
ATOMIC_POSITIONS crystal
Pd 0.000 0.095 0.038
Pd 0.000 0.905 0.538
Pd 0.500 0.623 0.594
Pd 0.500 0.377 0.094
Ho 0.000 0.327 0.564
Ho 0.000 0.673 0.064
Si 0.500 0.959 0.804
Si 0.500 0.041 0.304
CELL_PARAMETERS angstrom
4.100 0.000 0.000
0.000 7.002 0.000
0.000 0.000 4.983
```